4
Lattice="0.000 3.111 3.111 3.111 0.000 3.111 3.111 3.111 0.000" Properties=species:S:1:pos:R:3 comment="MoPdPt2 | Alexandria via LeMat-Bulk | PBEsol | relaxed" dos_at_fermi_per_ev_atom=1.36 e_form_mev_per_atom=-12 pbc="T T T"
Mo 0.000 0.000 0.000
Pd 3.111 3.111 3.111
Pt 1.555 1.555 1.555
Pt 4.666 4.666 4.666